Entry 1:
AcTb2Nd8 after structural relaxation. Source: the Alexandria database, functional GGA-PBE.

Geometry as CIF:
```
data_AcTb2Nd8
_chemical_formula_sum 'Ac2 Tb4 Nd16'
_space_group_name_H-M_alt 'C 1 2/m 1'
_space_group_IT_number 12
_space_group_name_Hall '-C 2y'
_cell_length_a 16.880
_cell_length_b 6.891
_cell_length_c 6.900
_cell_angle_alpha 90.00
_cell_angle_beta 98.83
_cell_angle_gamma 90.00
loop_
_atom_site_label
_atom_site_fract_x
_atom_site_fract_y
_atom_site_fract_z
_atom_site_occupancy
Ac1 0.000 0.000 0.000 1
Tb1 0.211 0.000 0.789 1
Nd1 0.092 0.268 0.425 1
Nd2 0.093 0.500 0.918 1
Nd3 0.238 0.000 0.291 1
```

**Total DFT energy (no corrections)**: -4.524 eV per atom
**Distance to the lowest polymorph of the same formula**: 41 meV/atom

Entry 2:
Ac2TbNd2 after structural relaxation. Source: the Alexandria database, functional GGA-PBE.

Geometry as CIF:
```
data_Ac2TbNd2
_chemical_formula_sum 'Ac4 Tb2 Nd4'
_space_group_name_H-M_alt 'I 4/m m m'
_space_group_IT_number 139
_space_group_name_Hall '-I 4 2'
_cell_length_a 4.955
_cell_length_b 4.955
_cell_length_c 16.748
_cell_angle_alpha 90.00
_cell_angle_beta 90.00
_cell_angle_gamma 90.00
loop_
_atom_site_label
_atom_site_fract_x
_atom_site_fract_y
_atom_site_fract_z
_atom_site_occupancy
Ac1 0.000 0.500 0.250 1
Tb1 0.000 0.000 0.000 1
Nd1 0.000 0.000 0.409 1
```

**Total DFT energy (no corrections)**: -4.029 eV per atom
**Distance to the lowest polymorph of the same formula**: 245 meV/atom

Entry 3:
Ac4Tb5Nd after structural relaxation. Source: the Alexandria database, functional GGA-PBE.

Geometry as CIF:
```
data_Ac4Tb5Nd
_chemical_formula_sum 'Ac8 Tb10 Nd2'
_space_group_name_H-M_alt 'C 1 2/m 1'
_space_group_IT_number 12
_space_group_name_Hall '-C 2y'
_cell_length_a 19.077
_cell_length_b 5.394
_cell_length_c 7.420
_cell_angle_alpha 90.00
_cell_angle_beta 104.13
_cell_angle_gamma 90.00
loop_
_atom_site_label
_atom_site_fract_x
_atom_site_fract_y
_atom_site_fract_z
_atom_site_occupancy
Ac1 0.098 0.000 0.305 1
Ac2 0.200 0.500 0.102 1
Tb1 0.000 0.500 0.000 1
Tb2 0.099 0.000 0.800 1
Tb3 0.198 0.500 0.601 1
Nd1 0.000 0.500 0.500 1
```

**Total DFT energy (no corrections)**: -4.389 eV per atom

Here are the calculated energy relative to the elements numbers, same order: 3.66, 10.31, 1.06 (kcal/mol of atoms).
Here are the calculated calculated density numbers, same order: 7.11, 7.28, 8.28 (g/cm3).